Record 1
A plane-wave DFT calculation with GGA-PBE was carried out for a geometry-optimized KErSnS3 structure.

It has space group Cmcm (No. 63), with a = 3.9427 Å, b = 16.8981 Å, c = 11.1518 Å, α = 90.00°, β = 90.00° and γ = 90.00°. The asymmetric unit holds K at (0.0000, 0.1764, 0.2500), Er at (0.0000, 0.5000, 0.0000), Sn at (0.0000, 0.1210, 0.7500), S at (0.0000, 0.1085, 0.5009) and S at (0.0000, 0.4840, 0.2500).

The calculation puts the raw total energy at -118.7 eV for the cell shown.

=====

Record 2
A plane-wave DFT calculation with GGA-PBE was carried out for a geometry-optimized K2Er2SnS6 structure.

It has space group C2/m (No. 12), with a = 6.7909 Å, b = 11.7118 Å, c = 7.9251 Å, α = 90.00°, β = 106.70° and γ = 90.00°. The asymmetric unit holds K at (0.0000, 0.1689, 0.0000), Er at (0.0000, 0.3324, 0.5000), Sn at (0.0000, 0.0000, 0.5000), S at (0.2267, 0.1610, 0.6947) and S at (0.2490, 0.5000, 0.6918).

The calculation puts the raw total energy at -112.3 eV for the cell shown.

=====

Record 3
A plane-wave DFT calculation with GGA-PBE was carried out for a geometry-optimized K2ErSnS4 structure.

It has space group P2/m (No. 10), with a = 7.0358 Å, b = 4.0030 Å, c = 7.7106 Å, α = 90.00°, β = 107.21° and γ = 90.00°. The asymmetric unit holds K at (0.0000, 0.0000, 0.0000), K at (0.5000, 0.5000, 0.0000), Er at (0.0000, 0.5000, 0.5000), Sn at (0.5000, 0.0000, 0.5000), S at (0.2312, 0.0000, 0.6996) and S at (0.2626, 0.5000, 0.2994).

The calculation puts the raw total energy at -37.7 eV for the cell shown.

=====

Record 4
A plane-wave DFT calculation with GGA-PBE was carried out for a geometry-optimized K3Er3SnS8 structure.

It has space group R-3m (No. 166, hexagonal axes), with a = 7.8988 Å, b = 7.8988 Å, c = 22.5550 Å, α = 90.00°, β = 90.00° and γ = 120.00°. The asymmetric unit holds K at (0.0000, 0.5000, 0.0000), Er at (0.0000, 0.5000, 0.5000), Sn at (0.0000, 0.0000, 0.5000), S at (0.0000, 0.0000, 0.2325) and S at (0.0132, 0.5066, 0.2314).

The calculation puts the raw total energy at -233.1 eV for the cell shown.

=====

Record 5
A plane-wave DFT calculation with GGA-PBE was carried out for a geometry-optimized K3SrEr2S6 structure.

It has space group C2/m (No. 12), with a = 7.1467 Å, b = 12.3805 Å, c = 7.7633 Å, α = 90.00°, β = 108.00° and γ = 90.00°. The asymmetric unit holds K at (0.0000, 0.0000, 0.0000), K at (0.0000, 0.3379, 0.0000), Sr at (0.0000, 0.5000, 0.5000), Er at (0.0000, 0.1669, 0.5000), S at (0.2112, 0.0000, 0.7040) and S at (0.2474, 0.3212, 0.7045).

The calculation puts the raw total energy at -118.3 eV for the cell shown.

=====

Record 6
A plane-wave DFT calculation with GGA-PBE was carried out for a geometry-optimized K3TbEr2S6 structure.

It has space group C2/m (No. 12), with a = 6.9889 Å, b = 12.1054 Å, c = 7.7274 Å, α = 90.00°, β = 107.55° and γ = 90.00°. The asymmetric unit holds K at (0.0000, 0.0000, 0.0000), K at (0.0000, 0.3337, 0.0000), Tb at (0.0000, 0.5000, 0.5000), Er at (0.0000, 0.1667, 0.5000), S at (0.2304, 0.0000, 0.7009) and S at (0.2353, 0.3317, 0.7009).

The calculation puts the raw total energy at -129.0 eV for the cell shown.

=====

Record 7
A plane-wave DFT calculation with GGA-PBE was carried out for a geometry-optimized K4Tb3ErS8 structure.

It has space group R-3m (No. 166, hexagonal axes), with a = 8.1143 Å, b = 8.1143 Å, c = 22.1107 Å, α = 90.00°, β = 90.00° and γ = 120.00°. The asymmetric unit holds K at (0.0000, 0.0000, 0.0000), K at (0.0000, 0.5000, 0.0000), Tb at (0.0000, 0.5000, 0.5000), Er at (0.0000, 0.0000, 0.5000), S at (0.0000, 0.0000, 0.2343) and S at (0.0029, 0.5014, 0.2338).

The calculation puts the raw total energy at -258.2 eV for the cell shown.

=====

Record 8
A plane-wave DFT calculation with GGA-PBE was carried out for a geometry-optimized K2TbErS4 structure.

It has space group P2/m (No. 10), with a = 7.0056 Å, b = 4.0442 Å, c = 7.7274 Å, α = 90.00°, β = 107.57° and γ = 90.00°. The asymmetric unit holds K at (0.0000, 0.0000, 0.0000), K at (0.5000, 0.5000, 0.0000), Tb at (0.0000, 0.5000, 0.5000), Er at (0.5000, 0.0000, 0.5000), S at (0.2367, 0.0000, 0.7019) and S at (0.2694, 0.5000, 0.2994).

The calculation puts the raw total energy at -43.0 eV for the cell shown.

=====

Record 9
A plane-wave DFT calculation with GGA-PBE was carried out for a geometry-optimized K3Tb2ErS6 structure.

It has space group C2/m (No. 12), with a = 7.0205 Å, b = 12.1598 Å, c = 7.7327 Å, α = 90.00°, β = 107.62° and γ = 90.00°. The asymmetric unit holds K at (0.0000, 0.0000, 0.0000), K at (0.0000, 0.3329, 0.0000), Tb at (0.0000, 0.1666, 0.5000), Er at (0.0000, 0.5000, 0.5000), S at (0.2323, 0.3349, 0.7016) and S at (0.2371, 0.0000, 0.7016).

The calculation puts the raw total energy at -129.1 eV for the cell shown.

=====

Record 10
A plane-wave DFT calculation with GGA-PBE was carried out for a geometry-optimized K2Er2TeS6 structure.

It has space group C2/m (No. 12), with a = 6.8689 Å, b = 11.8495 Å, c = 7.8866 Å, α = 90.00°, β = 106.71° and γ = 90.00°. The asymmetric unit holds K at (0.0000, 0.1668, 0.0000), Er at (0.0000, 0.3335, 0.5000), Te at (0.0000, 0.0000, 0.5000), S at (0.2282, 0.1645, 0.6947) and S at (0.2380, 0.5000, 0.6953).

The calculation puts the raw total energy at -108.4 eV for the cell shown.

=====

Question: Among the records above, which one has the lowest raw total energy?
Answer: K4Tb3ErS8